# NaTb2Al | Alexandria via LeMat-Bulk | PBE-GGA | relaxed
# Energy of formation = 71.8 meV/atom
# Total magnetic moment = 0.0000 μB per atom
# Distance to the lowest polymorph of the same formula = 143 meV per atom
# E = -3.51 eV per atom
data_NaTb2Al
_chemical_formula_sum 'Na3 Tb6 Al3'
_space_group_name_H-M_alt 'R -3 m'
_space_group_IT_number 166
_space_group_name_Hall '-R 3 2"'
_cell_length_a 3.5333
_cell_length_b 3.5333
_cell_length_c 34.7716
_cell_angle_alpha 90.00
_cell_angle_beta 90.00
_cell_angle_gamma 120.00
loop_
_atom_site_label
_atom_site_type_symbol
_atom_site_fract_x
_atom_site_fract_y
_atom_site_fract_z
Na1 Na 0.0000 0.0000 0.0000
Tb1 Tb 0.0000 0.0000 0.1028
Al1 Al 0.0000 0.0000 0.5000



# NaTbAl | Alexandria via LeMat-Bulk | PBE-GGA | relaxed
# Energy of formation = 143.8 meV/atom
# Total magnetic moment = 0.0000 μB per atom
# E = -3.09 eV per atom
data_NaTbAl
_chemical_formula_sum 'Na4 Tb4 Al4'
_space_group_name_H-M_alt 'A m m 2'
_space_group_IT_number 38
_cell_length_a 16.9359
_cell_length_b 3.3639
_cell_length_c 5.7716
_cell_angle_alpha 90.00
_cell_angle_beta 90.00
_cell_angle_gamma 90.00
loop_
_space_group_symop_operation_xyz
'x,y,z'
'-x,-y,z'
'-x,y,z'
'x,-y,z'
'x,y+1/2,z+1/2'
'-x,-y+1/2,z+1/2'
'-x,y+1/2,z+1/2'
'x,-y+1/2,z+1/2'
loop_
_atom_site_label
_atom_site_type_symbol
_atom_site_fract_x
_atom_site_fract_y
_atom_site_fract_z
Na1 Na 0.1583 0.0000 0.0000
Tb1 Tb 0.3569 0.0000 0.3463
Al1 Al 0.0000 0.0000 0.3362
Al2 Al 0.5000 0.0000 0.0110



# NaTb2Al | Alexandria via LeMat-Bulk | PBE-GGA | relaxed
# Energy of formation = -39.5 meV/atom
# Total magnetic moment = 0.0000 μB per atom
# Distance to the lowest polymorph of the same formula = 32 meV per atom
# E = -3.62 eV per atom
data_NaTb2Al
_chemical_formula_sum 'Na4 Tb8 Al4'
_space_group_name_H-M_alt 'F m -3 m'
_space_group_IT_number 225
_space_group_name_Hall '-F 4 2 3'
_cell_length_a 7.5014
_cell_length_b 7.5014
_cell_length_c 7.5014
_cell_angle_alpha 90.00
_cell_angle_beta 90.00
_cell_angle_gamma 90.00
loop_
_atom_site_label
_atom_site_type_symbol
_atom_site_fract_x
_atom_site_fract_y
_atom_site_fract_z
Na1 Na 0.0000 0.0000 0.0000
Tb1 Tb 0.2500 0.2500 0.2500
Al1 Al 0.0000 0.0000 0.5000



# NaTb2Al | Alexandria via LeMat-Bulk | PBE-GGA | relaxed
# Energy of formation = -71.0 meV/atom
# Total magnetic moment = 0.0000 μB per atom
# Distance to the lowest polymorph of the same formula = 0 meV per atom
# E = -3.65 eV per atom
data_NaTb2Al
_chemical_formula_sum 'Na1 Tb2 Al1'
_space_group_name_H-M_alt 'P 4/m m m'
_space_group_IT_number 123
_space_group_name_Hall '-P 4 2'
_cell_length_a 3.5150
_cell_length_b 3.5150
_cell_length_c 9.2990
_cell_angle_alpha 90.00
_cell_angle_beta 90.00
_cell_angle_gamma 90.00
loop_
_atom_site_label
_atom_site_type_symbol
_atom_site_fract_x
_atom_site_fract_y
_atom_site_fract_z
Na1 Na 0.0000 0.0000 0.0000
Tb1 Tb 0.5000 0.5000 0.2996
Al1 Al 0.0000 0.0000 0.5000



# Na2TbAlTe4 | Alexandria via LeMat-Bulk | PBE-GGA | relaxed
# Formation energy (no corrections) = -7.3 eV/f.u.
# Total magnetic moment = 0.0000 μB per atom
# E = -3.86 eV per atom
data_Na2TbAlTe4
_chemical_formula_sum 'Na8 Tb4 Al4 Te16'
_space_group_name_H-M_alt 'I m m a'
_space_group_IT_number 74
_space_group_name_Hall '-I 2b 2'
_cell_length_a 8.5219
_cell_length_b 9.0000
_cell_length_c 12.5084
_cell_angle_alpha 90.00
_cell_angle_beta 90.00
_cell_angle_gamma 90.00
loop_
_atom_site_label
_atom_site_type_symbol
_atom_site_fract_x
_atom_site_fract_y
_atom_site_fract_z
Na1 Na 0.0000 0.0000 0.0000
Na2 Na 0.2500 0.2500 0.2500
Tb1 Tb 0.0000 0.0000 0.5000
Al1 Al 0.2500 0.2500 0.7500
Te1 Te 0.0000 0.0362 0.7482
Te2 Te 0.2468 0.2500 0.5127



# NaTbAlTl | Alexandria via LeMat-Bulk | PBE-GGA | relaxed
# Energy of formation = -120.7 meV/atom
# Total magnetic moment = 0.0000 μB per atom
# E = -3.14 eV per atom
data_NaTbAlTl
_chemical_formula_sum 'Na4 Tb4 Al4 Tl4'
_space_group_name_H-M_alt 'F -4 3 m'
_space_group_IT_number 216
_space_group_name_Hall 'F -4 2 3'
_cell_length_a 7.3849
_cell_length_b 7.3849
_cell_length_c 7.3849
_cell_angle_alpha 90.00
_cell_angle_beta 90.00
_cell_angle_gamma 90.00
loop_
_atom_site_label
_atom_site_type_symbol
_atom_site_fract_x
_atom_site_fract_y
_atom_site_fract_z
Na1 Na 0.0000 0.0000 0.0000
Tb1 Tb 0.0000 0.0000 0.5000
Al1 Al 0.2500 0.2500 0.2500
Tl1 Tl 0.2500 0.2500 0.7500



# NaTbTmAl | Alexandria via LeMat-Bulk | PBE-GGA | relaxed
# Energy of formation = -25.5 meV/atom
# Total magnetic moment = 0.0000 μB per atom
# E = -3.57 eV per atom
data_NaTbTmAl
_chemical_formula_sum 'Na4 Tb4 Tm4 Al4'
_space_group_name_H-M_alt 'F -4 3 m'
_space_group_IT_number 216
_space_group_name_Hall 'F -4 2 3'
_cell_length_a 7.4432
_cell_length_b 7.4432
_cell_length_c 7.4432
_cell_angle_alpha 90.00
_cell_angle_beta 90.00
_cell_angle_gamma 90.00
loop_
_atom_site_label
_atom_site_type_symbol
_atom_site_fract_x
_atom_site_fract_y
_atom_site_fract_z
Na1 Na 0.0000 0.0000 0.0000
Tb1 Tb 0.2500 0.2500 0.2500
Tm1 Tm 0.2500 0.2500 0.7500
Al1 Al 0.0000 0.0000 0.5000



# NaTbYAl | Alexandria via LeMat-Bulk | PBE-GGA | relaxed
# Energy of formation = -54.8 meV/atom
# Total magnetic moment = 0.0000 μB per atom
# E = -4.09 eV per atom
data_NaTbYAl
_chemical_formula_sum 'Na4 Tb4 Y4 Al4'
_space_group_name_H-M_alt 'F -4 3 m'
_space_group_IT_number 216
_space_group_name_Hall 'F -4 2 3'
_cell_length_a 7.4976
_cell_length_b 7.4976
_cell_length_c 7.4976
_cell_angle_alpha 90.00
_cell_angle_beta 90.00
_cell_angle_gamma 90.00
loop_
_atom_site_label
_atom_site_type_symbol
_atom_site_fract_x
_atom_site_fract_y
_atom_site_fract_z
Na1 Na 0.0000 0.0000 0.0000
Tb1 Tb 0.2500 0.2500 0.2500
Y1 Y 0.2500 0.2500 0.7500
Al1 Al 0.0000 0.0000 0.5000



# NaAlTc | Alexandria via LeMat-Bulk | PBE-GGA | relaxed
# Energy of formation = 217.4 meV/atom
# Total magnetic moment = 0.0000 μB per atom
# Distance to the lowest polymorph of the same formula = 295 meV per atom
# E = -4.93 eV per atom
data_NaAlTc
_chemical_formula_sum 'Na4 Al4 Tc4'
_space_group_name_H-M_alt 'C 1 2/m 1'
_space_group_IT_number 12
_cell_length_a 16.4262
_cell_length_b 2.6919
_cell_length_c 4.6878
_cell_angle_alpha 90.00
_cell_angle_beta 94.47
_cell_angle_gamma 90.00
loop_
_space_group_symop_operation_xyz
'x,y,z'
'-x,-y,-z'
'-x,y,-z'
'x,-y,z'
'x+1/2,y+1/2,z'
'-x+1/2,-y+1/2,-z'
'-x+1/2,y+1/2,-z'
'x+1/2,-y+1/2,z'
loop_
_atom_site_label
_atom_site_type_symbol
_atom_site_fract_x
_atom_site_fract_y
_atom_site_fract_z
Na1 Na 0.2181 0.0000 0.2425
Al1 Al 0.0572 0.5000 0.2088
Tc1 Tc 0.0810 0.0000 0.7011



# NaAlTc | Alexandria via LeMat-Bulk | PBE-GGA | relaxed
# Energy of formation = 223.1 meV/atom
# Total magnetic moment = 0.0000 μB per atom
# Distance to the lowest polymorph of the same formula = 301 meV per atom
# E = -4.92 eV per atom
data_NaAlTc
_chemical_formula_sum 'Na2 Al2 Tc2'
_space_group_name_H-M_alt 'P 1'
_space_group_IT_number 1
_cell_length_a 2.7588
_cell_length_b 6.4645
_cell_length_c 7.5459
_cell_angle_alpha 68.38
_cell_angle_beta 79.80
_cell_angle_gamma 89.93
loop_
_space_group_symop_operation_xyz
'x,y,z'
loop_
_atom_site_label
_atom_site_type_symbol
_atom_site_fract_x
_atom_site_fract_y
_atom_site_fract_z
Na1 Na 0.0000 0.0000 0.0000
Na2 Na 0.0610 0.5380 0.8245
Al1 Al 0.7026 0.0680 0.5950
Al2 Al 0.8207 0.5448 0.3548
Tc1 Tc 0.2961 0.8636 0.4067
Tc2 Tc 0.3682 0.2543 0.2572



# NaAlTc | Alexandria via LeMat-Bulk | PBE-GGA | relaxed
# Energy of formation = 79.5 meV/atom
# Total magnetic moment = 0.0000 μB per atom
# Distance to the lowest polymorph of the same formula = 157 meV per atom
# E = -5.06 eV per atom
data_NaAlTc
_chemical_formula_sum 'Na2 Al2 Tc2'
_space_group_name_H-M_alt 'P 1'
_space_group_IT_number 1
_cell_length_a 2.9003
_cell_length_b 4.2757
_cell_length_c 10.5550
_cell_angle_alpha 92.13
_cell_angle_beta 97.16
_cell_angle_gamma 90.01
loop_
_space_group_symop_operation_xyz
'x,y,z'
loop_
_atom_site_label
_atom_site_type_symbol
_atom_site_fract_x
_atom_site_fract_y
_atom_site_fract_z
Na1 Na 0.0000 0.0000 0.0000
Na2 Na 0.3965 0.4746 0.7216
Al1 Al 0.1046 0.5163 0.2211
Al2 Al 0.2294 0.9565 0.5004
Tc1 Tc 0.6338 0.0207 0.2855
Tc2 Tc 0.7026 0.4518 0.4357



# NaAlTc | Alexandria via LeMat-Bulk | PBE-GGA | relaxed
# Energy of formation = 97.5 meV/atom
# Total magnetic moment = 0.0000 μB per atom
# Distance to the lowest polymorph of the same formula = 175 meV per atom
# E = -5.05 eV per atom
data_NaAlTc
_chemical_formula_sum 'Na2 Al2 Tc2'
_space_group_name_H-M_alt 'P 1'
_space_group_IT_number 1
_cell_length_a 2.8446
_cell_length_b 2.9262
_cell_length_c 15.0428
_cell_angle_alpha 85.79
_cell_angle_beta 85.67
_cell_angle_gamma 61.87
loop_
_space_group_symop_operation_xyz
'x,y,z'
loop_
_atom_site_label
_atom_site_type_symbol
_atom_site_fract_x
_atom_site_fract_y
_atom_site_fract_z
Na1 Na 0.0000 0.0000 0.0000
Na2 Na 0.2137 0.3464 0.2150
Al1 Al 0.3887 0.4469 0.8142
Al2 Al 0.8292 0.9227 0.3994
Tc1 Tc 0.1214 0.2379 0.5400
Tc2 Tc 0.7574 0.8335 0.6744